No. 1
A plane-wave DFT calculation with PBE-GGA was carried out for an optimized crystal structure of RbCdRu3.

Cell and atoms, written as POSCAR:
```
RbCdRu3
1.0
5.1223 0.0000 0.0000
0.0000 5.1223 0.0000
0.0000 0.0000 5.1223
Rb Cd Ru
1 1 3
direct
0.0000 0.0000 0.0000
0.5000 0.5000 0.5000
0.0000 0.5000 0.5000
0.5000 0.0000 0.5000
0.5000 0.5000 0.0000
```

## Properties
Symmetry: No. 221
Total magnetic moment: 6.23 Bohr magnetons per cell
Calculated formation energy: 47.525 kcal/mol of atoms
Total energy: -3.88 eV per atom



No. 2
A plane-wave DFT calculation with PBE-GGA was carried out for an optimized crystal structure of RbCd3Ru.

Cell and atoms, written as POSCAR:
```
RbCd3Ru
1.0
5.3172 0.0000 0.0000
0.0000 5.3172 0.0000
0.0000 0.0000 5.3172
Rb Cd Ru
1 3 1
direct
0.0000 0.0000 0.0000
0.0000 0.5000 0.5000
0.5000 0.0000 0.5000
0.5000 0.5000 0.0000
0.5000 0.5000 0.5000
```

## Properties
Symmetry: No. 221
Total magnetic moment: 0.00 Bohr magnetons per cell
Calculated formation energy: 4.813 kcal/mol of atoms
Total energy: -2.39 eV per atom



No. 3
A plane-wave DFT calculation with PBE-GGA was carried out for an optimized crystal structure of RbCdRu2.

Cell and atoms, written as POSCAR:
```
RbCdRu2
1.0
-2.2584 2.2584 10.1144
2.2584 -2.2584 10.1144
2.2584 2.2584 -10.1144
Rb Cd Ru
2 2 4
direct
0.0000 0.0000 0.0000
0.7500 0.2500 0.5000
0.2500 0.7500 0.5000
0.5000 0.5000 0.0000
0.2759 0.6250 0.1509
0.3750 0.5259 0.6509
0.4741 0.1250 0.8491
0.8750 0.7241 0.3491
```

## Properties
Symmetry: No. 122
Total magnetic moment: 0.00 Bohr magnetons per cell
Calculated formation energy: 26.398 kcal/mol of atoms
Total energy: -3.96 eV per atom



No. 4
A plane-wave DFT calculation with PBE-GGA was carried out for an optimized crystal structure of RbCdSn2Ru.

Cell and atoms, written as POSCAR:
```
RbCdSn2Ru
1.0
5.1671 0.0000 0.0000
0.0000 5.1671 0.0000
0.0000 0.0000 5.4325
Rb Cd Sn Ru
1 1 2 1
direct
0.0000 0.0000 0.0000
0.5000 0.5000 0.0000
0.0000 0.5000 0.5000
0.5000 0.0000 0.5000
0.5000 0.5000 0.5000
```

## Properties
Symmetry: No. 123
Total magnetic moment: 0.11 Bohr magnetons per cell
Calculated formation energy: -0.817 kcal/mol of atoms
Total energy: -3.87 eV per atom



No. 5
A plane-wave DFT calculation with PBE-GGA was carried out for an optimized crystal structure of RbTl2CdRu.

Cell and atoms, written as POSCAR:
```
RbTl2CdRu
1.0
5.3440 0.0000 0.0000
0.0000 5.3440 0.0000
0.0000 0.0000 5.4057
Rb Tl Cd Ru
1 2 1 1
direct
0.0000 0.0000 0.0000
0.0000 0.5000 0.5000
0.5000 0.0000 0.5000
0.5000 0.5000 0.0000
0.5000 0.5000 0.5000
```

## Properties
Symmetry: No. 123
Total magnetic moment: 0.00 Bohr magnetons per cell
Calculated formation energy: 1.360 kcal/mol of atoms
Total energy: -3.12 eV per atom



No. 6
A plane-wave DFT calculation with PBE-GGA was carried out for an optimized crystal structure of RbVCdRu2.

Cell and atoms, written as POSCAR:
```
RbVCdRu2
1.0
4.7040 0.0000 0.0000
0.0000 4.7040 0.0000
0.0000 0.0000 5.2712
Rb V Cd Ru
1 1 1 2
direct
0.0000 0.0000 0.0000
0.5000 0.5000 0.5000
0.0000 0.0000 0.5000
0.0000 0.5000 0.0000
0.5000 0.0000 0.0000
```

## Properties
Symmetry: No. 123
Total magnetic moment: 0.00 Bohr magnetons per cell
Calculated formation energy: 66.773 kcal/mol of atoms
Total energy: -3.02 eV per atom



No. 7
A plane-wave DFT calculation with PBE-GGA was carried out for an optimized crystal structure of RbCdS.

Cell and atoms, written as POSCAR:
```
RbCdS
1.0
6.3193 0.0000 0.0000
0.0000 5.2837 0.0000
-3.1307 0.0000 7.2111
Rb Cd S
2 2 2
direct
0.1778 0.2500 0.3538
0.8222 0.7500 0.6462
0.4249 0.2500 0.8537
0.5751 0.7500 0.1463
0.3818 0.7500 0.7668
0.6182 0.2500 0.2332
```

## Properties
Symmetry: No. 11
Total magnetic moment: 0.00 Bohr magnetons per cell
Raw formation energy: -1.59 eV per formula unit
Total energy: -2.53 eV per atom



No. 8
A plane-wave DFT calculation with PBE-GGA was carried out for an optimized crystal structure of Rb6CdS4.

Cell and atoms, written as POSCAR:
```
Rb6CdS4
1.0
10.4543 0.0000 0.0000
-5.2271 9.0537 0.0000
0.0000 0.0000 8.1181
Rb Cd S
12 2 8
direct
0.0609 0.5305 0.0000
0.1474 0.2947 0.6728
0.1474 0.8526 0.6728
0.2947 0.1474 0.1728
0.4695 0.5305 0.0000
0.4695 0.9391 0.0000
0.5305 0.0609 0.5000
0.5305 0.4695 0.5000
0.7053 0.8526 0.6728
0.8526 0.1474 0.1728
0.8526 0.7053 0.1728
0.9391 0.4695 0.5000
0.3333 0.6667 0.3834
0.6667 0.3333 0.8834
0.1951 0.3902 0.2833
0.1951 0.8049 0.2833
0.3333 0.6667 0.7081
0.3902 0.1951 0.7833
0.6098 0.8049 0.2833
0.6667 0.3333 0.2081
0.8049 0.1951 0.7833
0.8049 0.6098 0.7833
```

## Properties
Symmetry: No. 186
Total magnetic moment: 0.00 Bohr magnetons per cell
Raw formation energy: -11.14 eV per formula unit
Total energy: -3.12 eV per atom



No. 9
A plane-wave DFT calculation with PBE-GGA was carried out for an optimized crystal structure of RbCd2S2.

Cell and atoms, written as POSCAR:
```
RbCd2S2
1.0
-2.5416 2.5416 5.0075
2.5416 -2.5416 5.0075
2.5416 2.5416 -5.0075
Rb Cd S
1 2 2
direct
0.0000 0.0000 0.0000
0.3518 0.3518 0.0000
0.6482 0.6482 0.0000
0.2500 0.7500 0.5000
0.7500 0.2500 0.5000
```

## Properties
Symmetry: No. 139
Total magnetic moment: 0.00 Bohr magnetons per cell
Raw formation energy: -2.64 eV per formula unit
Total energy: -2.74 eV per atom



No. 10
A plane-wave DFT calculation with PBE-GGA was carried out for an optimized crystal structure of RbCd2S.

Cell and atoms, written as POSCAR:
```
RbCd2S
1.0
-4.5092 4.5092 3.0784
4.5092 -4.5092 3.0784
4.5092 4.5092 -3.0784
Rb Cd S
2 4 2
direct
0.0000 0.0000 0.0000
0.7500 0.2500 0.5000
0.2010 0.6250 0.0760
0.3750 0.4510 0.5760
0.5490 0.1250 0.9240
0.8750 0.7990 0.4240
0.2500 0.7500 0.5000
0.5000 0.5000 0.0000
```

## Properties
Symmetry: No. 122
Total magnetic moment: 0.00 Bohr magnetons per cell
Raw formation energy: -0.96 eV per formula unit
Total energy: -1.97 eV per atom



No. 11
A plane-wave DFT calculation with PBE-GGA was carried out for an optimized crystal structure of RbCd2S2.

Cell and atoms, written as POSCAR:
```
RbCd2S2
1.0
8.8415 0.0000 0.0000
0.0000 8.8415 0.0000
0.0000 0.0000 3.9848
Rb Cd S
2 4 4
direct
0.0000 0.0000 0.0000
0.5000 0.5000 0.0000
0.1106 0.3894 0.0000
0.3894 0.8894 0.0000
0.6106 0.1106 0.0000
0.8894 0.6106 0.0000
0.2298 0.2702 0.5000
0.2702 0.7702 0.5000
0.7298 0.2298 0.5000
0.7702 0.7298 0.5000
```

## Properties
Symmetry: No. 127
Total magnetic moment: 0.00 Bohr magnetons per cell
Raw formation energy: -2.09 eV per formula unit
Total energy: -2.63 eV per atom



No. 12
A plane-wave DFT calculation with PBE-GGA was carried out for an optimized crystal structure of Rb2CdS.

Cell and atoms, written as POSCAR:
```
Rb2CdS
1.0
0.0000 4.1267 4.1267
4.1267 0.0000 4.1267
4.1267 4.1267 0.0000
Rb Cd S
2 1 1
direct
0.2500 0.2500 0.2500
0.7500 0.7500 0.7500
0.0000 0.0000 0.0000
0.5000 0.5000 0.5000
```

## Properties
Symmetry: No. 225
Total magnetic moment: 0.00 Bohr magnetons per cell
Raw formation energy: -2.08 eV per formula unit
Total energy: -2.26 eV per atom



Which value of total magnetic moment does entry 4 give?
0.11 Bohr magnetons per cell



Please write out number 5 again, unchanged.
A plane-wave DFT calculation with PBE-GGA was carried out for an optimized crystal structure of RbTl2CdRu.

Cell and atoms, written as POSCAR:
```
RbTl2CdRu
1.0
5.3440 0.0000 0.0000
0.0000 5.3440 0.0000
0.0000 0.0000 5.4057
Rb Tl Cd Ru
1 2 1 1
direct
0.0000 0.0000 0.0000
0.0000 0.5000 0.5000
0.5000 0.0000 0.5000
0.5000 0.5000 0.0000
0.5000 0.5000 0.5000
```

## Properties
Symmetry: No. 123
Total magnetic moment: 0.00 Bohr magnetons per cell
Calculated formation energy: 1.360 kcal/mol of atoms
Total energy: -3.12 eV per atom



Please write out number 4 again, unchanged.
A plane-wave DFT calculation with PBE-GGA was carried out for an optimized crystal structure of RbCdSn2Ru.

Cell and atoms, written as POSCAR:
```
RbCdSn2Ru
1.0
5.1671 0.0000 0.0000
0.0000 5.1671 0.0000
0.0000 0.0000 5.4325
Rb Cd Sn Ru
1 1 2 1
direct
0.0000 0.0000 0.0000
0.5000 0.5000 0.0000
0.0000 0.5000 0.5000
0.5000 0.0000 0.5000
0.5000 0.5000 0.5000
```

## Properties
Symmetry: No. 123
Total magnetic moment: 0.11 Bohr magnetons per cell
Calculated formation energy: -0.817 kcal/mol of atoms
Total energy: -3.87 eV per atom